Here is a geometry-optimized PmGdSe2 structure from Alexandria via LeMat-Bulk. Energies are from GGA-PBE.

It has space group Fm-3m (No. 225), with a = 7.222 Å, b = 7.222 Å, c = 7.222 Å, α = 90.00°, β = 90.00° and γ = 90.00°. The distinct sites, in fractional coordinates, are Pm at (0.000, 0.000, 0.000), Gd at (0.000, 0.000, 0.500) and Se at (0.250, 0.250, 0.250).

As for the energy above the most stable polymorph in this dataset: 248 meV/atom. As for the mass density: 8.11 g/cm3. As for the uncorrected formation energy: -1.6054 eV/atom.